[1]
# AlCuSeO5 | Alexandria via LeMat-Bulk | PBE-GGA | relaxed
data_AlCuSeO5
_chemical_formula_sum 'Al4 Cu4 Se4 O20'
_cell_length_a 7.434
_cell_length_b 7.849
_cell_length_c 7.337
_cell_angle_alpha 90.00
_cell_angle_beta 119.42
_cell_angle_gamma 90.00
_space_group_name_H-M_alt 'C 1 2/c 1'
_space_group_IT_number 15
loop_
_space_group_symop_operation_xyz
'x,y,z'
'-x,-y,-z'
'-x,y,-z+1/2'
'x,-y,z+1/2'
'x+1/2,y+1/2,z'
'-x+1/2,-y+1/2,-z'
'-x+1/2,y+1/2,-z+1/2'
'x+1/2,-y+1/2,z+1/2'
loop_
_atom_site_label
_atom_site_fract_x
_atom_site_fract_y
_atom_site_fract_z
_atom_site_occupancy
Al1 0.000 0.000 0.000 1
Cu1 0.000 0.273 0.250 1
Se1 0.000 0.345 0.750 1
O1 0.000 0.036 0.250 1
O2 0.004 0.244 0.508 1
O3 0.189 0.499 0.847 1
# Formation energy (no corrections) in eV per atom: -1.261
# Total energy in eV per formula unit: -46.20

[2]
# AlCu3Sn4O12 | Alexandria via LeMat-Bulk | PBE-GGA | relaxed
data_AlCu3Sn4O12
_chemical_formula_sum 'Al2 Cu6 Sn8 O24'
_cell_length_a 7.746
_cell_length_b 7.746
_cell_length_c 7.746
_cell_angle_alpha 90.00
_cell_angle_beta 90.00
_cell_angle_gamma 90.00
_space_group_name_H-M_alt 'I m -3'
_space_group_IT_number 204
_space_group_name_Hall '-I 2 2 3'
loop_
_atom_site_label
_atom_site_fract_x
_atom_site_fract_y
_atom_site_fract_z
_atom_site_occupancy
Al1 0.000 0.000 0.000 1
Cu1 0.000 0.000 0.500 1
Sn1 0.250 0.250 0.250 1
O1 0.000 0.167 0.299 1
# Formation energy (no corrections) in eV per atom: -1.147
# Total energy in eV per formula unit: -114.48

[3]
# Sr3AlCu2O6 | Alexandria via LeMat-Bulk | PBE-GGA | relaxed
data_Sr3AlCu2O6
_chemical_formula_sum 'Sr3 Al1 Cu2 O6'
_cell_length_a 5.6994
_cell_length_b 5.6994
_cell_length_c 6.2888
_cell_angle_alpha 90.00
_cell_angle_beta 90.00
_cell_angle_gamma 120.00
_space_group_name_H-M_alt 'P -3 m 1'
_space_group_IT_number 164
_space_group_name_Hall '-P 3 2"'
loop_
_atom_site_label
_atom_site_fract_x
_atom_site_fract_y
_atom_site_fract_z
_atom_site_occupancy
Sr1 0.0000 0.0000 0.0000 1
Sr2 0.3333 0.6667 0.6414 1
Al1 0.0000 0.0000 0.5000 1
Cu1 0.3333 0.6667 0.1903 1
O1 0.1575 0.3150 0.3163 1
# Formation energy (no corrections) in eV per atom: -1.926
# Total energy in eV per formula unit: -69.84

[4]
# Sr2AlCu2O6 | Alexandria via LeMat-Bulk | PBE-GGA | relaxed
data_Sr2AlCu2O6
_chemical_formula_sum 'Sr6 Al3 Cu6 O18'
_cell_length_a 5.6752
_cell_length_b 5.6752
_cell_length_c 15.6179
_cell_angle_alpha 90.00
_cell_angle_beta 90.00
_cell_angle_gamma 120.00
_space_group_name_H-M_alt 'R -3 m'
_space_group_IT_number 166
_space_group_name_Hall '-R 3 2"'
loop_
_atom_site_label
_atom_site_fract_x
_atom_site_fract_y
_atom_site_fract_z
_atom_site_occupancy
Sr1 0.0000 0.0000 0.2164 1
Al1 0.0000 0.0000 0.0000 1
Cu1 0.0000 0.0000 0.4134 1
O1 0.0366 0.5183 0.7465 1
# Formation energy (no corrections) in eV per atom: -1.801
# Total energy in eV per formula unit: -64.86

total energy of number 2 (AlCu3Sn4O12)?
-114.48 eV per formula unit

What is the formation energy (no corrections) in the first record?
-1.261 eV per atom

Copy entry 1 word for word.
# AlCuSeO5 | Alexandria via LeMat-Bulk | PBE-GGA | relaxed
data_AlCuSeO5
_chemical_formula_sum 'Al4 Cu4 Se4 O20'
_cell_length_a 7.434
_cell_length_b 7.849
_cell_length_c 7.337
_cell_angle_alpha 90.00
_cell_angle_beta 119.42
_cell_angle_gamma 90.00
_space_group_name_H-M_alt 'C 1 2/c 1'
_space_group_IT_number 15
loop_
_space_group_symop_operation_xyz
'x,y,z'
'-x,-y,-z'
'-x,y,-z+1/2'
'x,-y,z+1/2'
'x+1/2,y+1/2,z'
'-x+1/2,-y+1/2,-z'
'-x+1/2,y+1/2,-z+1/2'
'x+1/2,-y+1/2,z+1/2'
loop_
_atom_site_label
_atom_site_fract_x
_atom_site_fract_y
_atom_site_fract_z
_atom_site_occupancy
Al1 0.000 0.000 0.000 1
Cu1 0.000 0.273 0.250 1
Se1 0.000 0.345 0.750 1
O1 0.000 0.036 0.250 1
O2 0.004 0.244 0.508 1
O3 0.189 0.499 0.847 1
# Formation energy (no corrections) in eV per atom: -1.261
# Total energy in eV per formula unit: -46.20